Entry 1:
# TlReTc2 (GGA-PBE, relaxed)
# DOS at the Fermi energy, states/eV/atom: 1.49
# Volume, Å³/atom: 16.64
# Energy of formation from the pure elements, meV per atom: 541
# Crystal system: trigonal
# Offset from the most stable computed form, eV per formula unit: 0.575
# Mass density, Mg/m³: 14.64
data_TlReTc2
_symmetry_space_group_name_H-M 'R 3 m'
_symmetry_Int_Tables_number 160
_symmetry_space_group_name_Hall 'R 3 -2"'
_cell_length_a 2.8832
_cell_length_b 2.8832
_cell_length_c 27.7295
_cell_angle_alpha 90.00
_cell_angle_beta 90.00
_cell_angle_gamma 120.00
loop_
_atom_site_label
_atom_site_type_symbol
_atom_site_fract_x
_atom_site_fract_y
_atom_site_fract_z
Tl1 Tl 0.0000 0.0000 0.0000
Re1 Re 0.0000 0.0000 0.2414
Tc1 Tc 0.0000 0.0000 0.4987
Tc2 Tc 0.0000 0.0000 0.7564

Entry 2:
# TlRe2Tc (GGA-PBE, relaxed)
# DOS at the Fermi energy, states/eV/atom: 1.11
# Volume, Å³/atom: 16.66
# Energy of formation from the pure elements, meV per atom: 646
# Crystal system: monoclinic
# Offset from the most stable computed form, eV per formula unit: 0.626
# Mass density, Mg/m³: 16.82
data_TlRe2Tc
_symmetry_space_group_name_H-M 'C 1 2/m 1'
_symmetry_Int_Tables_number 12
_cell_length_a 9.554
_cell_length_b 2.940
_cell_length_c 4.848
_cell_angle_alpha 90.00
_cell_angle_beta 101.93
_cell_angle_gamma 90.00
loop_
_symmetry_equiv_pos_as_xyz
'x,y,z'
'-x,-y,-z'
'-x,y,-z'
'x,-y,z'
'x+1/2,y+1/2,z'
'-x+1/2,-y+1/2,-z'
'-x+1/2,y+1/2,-z'
'x+1/2,-y+1/2,z'
loop_
_atom_site_label
_atom_site_type_symbol
_atom_site_fract_x
_atom_site_fract_y
_atom_site_fract_z
Tl1 Tl 0.000 0.000 0.000
Re1 Re 0.234 0.000 0.714
Tc1 Tc 0.000 0.500 0.500

Entry 3:
# Tl3ReTc (GGA-PBE, relaxed)
# DOS at the Fermi energy, states/eV/atom: 0.84
# Volume, Å³/atom: 30.12
# Energy of formation from the pure elements, meV per atom: 1531
# Crystal system: cubic
# Offset from the most stable computed form, eV per formula unit: 0.000
# Mass density, Mg/m³: 9.89
data_Tl3ReTc
_symmetry_space_group_name_H-M 'P m -3 m'
_symmetry_Int_Tables_number 221
_symmetry_space_group_name_Hall '-P 4 2 3'
_cell_length_a 5.321
_cell_length_b 5.321
_cell_length_c 5.321
_cell_angle_alpha 90.00
_cell_angle_beta 90.00
_cell_angle_gamma 90.00
loop_
_atom_site_label
_atom_site_type_symbol
_atom_site_fract_x
_atom_site_fract_y
_atom_site_fract_z
Tl1 Tl 0.000 0.000 0.500
Re1 Re 0.000 0.000 0.000
Tc1 Tc 0.500 0.500 0.500